Entry 1:
Computed, not measured: a relaxed Cs3RbCd crystal at the PBE level of DFT.

## Properties
* symmetry: Pm-3m (221)
* final energy: -0.8664 eV per atom
* energy of formation from the pure elements: 0.11 eV/f.u.
* D(E_F): 8.71 states/eV per cell
* energy above the most stable polymorph in this dataset: 34 meV/atom

extended XYZ file:
```
5
Lattice="7.728 0.000 0.000 0.000 7.728 0.000 0.000 0.000 7.728" Properties=species:S:1:pos:R:3 pbc="T T T"
Cs 0.000 0.000 3.864
Cs 0.000 3.864 0.000
Cs 3.864 0.000 0.000
Rb 3.864 3.864 3.864
Cd 0.000 0.000 0.000
```



Entry 2:
Computed, not measured: a relaxed Cs5Rb2Cd4 crystal at the PBE level of DFT.

## Properties
* symmetry: C2/m (12)
* final energy: -0.9026 eV per atom
* energy of formation from the pure elements: -0.07 eV/f.u.
* D(E_F): 9.35 states/eV per cell

extended XYZ file:
```
11
Lattice="-3.621 3.848 1.033 -2.192 0.426 -9.273 -8.419 -12.850 4.325" Properties=species:S:1:pos:R:3 pbc="T T T"
Cs -2.258 -1.271 -3.183
Cs -1.811 1.924 0.516
Rb -7.145 -6.488 -0.879
Cs -10.705 -4.875 -5.337
Cd -2.920 -0.909 -6.854
Cs -11.974 -7.306 -0.732
Rb -7.087 -2.088 -3.036
Cs -3.527 -3.701 1.422
Cd -5.310 0.269 -5.589
Cd -11.312 -7.668 2.939
Cd -8.922 -8.846 1.674
```